VASP calculation (GGA-PBE) on Tm5AgRu4 after structural relaxation.

Output
* Fermi-level density of states: 0.46 states/eV per atom
* space-group type: P4/mmm (123)
* final energy: -6.688 eV/atom

Geometry as POSCAR:
```
Tm5AgRu4
1.0
-2.994 -1.125 -1.069
0.133 -2.501 2.259
-7.953 10.098 11.648
Ag Tm Ru
1 5 4
direct
0.000 0.000 0.000 Ag
0.500 0.500 0.500 Tm
0.500 0.500 0.309 Tm
0.500 0.500 0.691 Tm
0.500 0.500 0.118 Tm
0.500 0.500 0.882 Tm
0.000 0.000 0.404 Ru
0.000 0.000 0.596 Ru
0.000 0.000 0.207 Ru
0.000 0.000 0.793 Ru
```